Nd3Zn2Ag9, optimized geometry, DFT GGA-PBE; formation energy = -0.19 eV/atom; crystal system = orthorhombic
1.0
-0.502 -4.182 1.878
6.985 -4.377 -2.218
5.260 -0.156 6.721
Nd Zn Ag
3 2 9
Cartesian
0.000 0.000 0.000
3.339 -4.288 2.669
8.404 -4.427 3.712
5.541 -3.549 4.904
6.202 -5.167 1.478
6.123 -2.267 2.252
10.179 -7.144 3.800
1.565 -1.571 2.581
9.708 -5.992 6.240
2.036 -2.724 0.141
7.621 -7.415 2.511
4.123 -1.300 3.870
6.867 -5.571 6.417
4.877 -3.144 -0.035

AcErBi2O6, optimized geometry, DFT GGA-PBE; uncorrected formation energy = -2.3166 eV per atom; crystal system = triclinic
1.0
6.189 0.005 -0.001
3.098 5.361 0.002
3.095 1.791 5.131
Ac Er Bi O
1 1 2 6
Cartesian
9.285 5.368 3.123
3.095 1.788 0.364
6.190 3.581 2.223
3.092 1.790 4.835
5.157 1.463 1.226
4.881 5.525 1.231
8.539 3.744 1.226
6.962 5.025 3.835
7.059 2.185 3.839
4.553 3.523 3.835

BaAlHg, optimized geometry, DFT GGA-PBE; formation energy = -0.15 eV/atom; crystal system = tetragonal
1.0
-1.814 -1.215 6.416
-4.927 -1.708 4.330
0.268 -3.739 0.480
Al Hg Ba
1 1 1
Cartesian
0.057 -3.715 0.788
-4.201 -3.218 7.026
-2.062 -3.468 3.893

Ag7SeS2Br2, optimized geometry, DFT GGA-PBE; uncorrected formation energy = -0.0907 eV per atom; crystal system = orthorhombic
1.0
4.450 0.000 0.000
0.000 6.813 0.000
-2.225 -3.406 10.036
Ag Se S Br
7 1 2 2
Cartesian
0.000 3.051 8.556
2.225 3.276 4.394
0.000 3.114 1.592
2.225 -0.355 1.480
0.000 -0.130 5.642
2.225 -0.292 8.445
2.225 2.232 0.000
0.000 0.572 0.000
0.000 0.609 8.008
2.225 4.015 2.028
0.000 3.876 5.896
2.225 0.469 4.141

no.,VASP energy (eV for the cell shown)
1,-45.198
2,-69.349
3,-6.408
4,-36.132